# 1
This record from the Alexandria database describes a relaxed structure of Ta2Se3. The functional is PBE.

abc: 6.609 6.524 7.555
angles: 55.41 54.36 70.24
Atoms (fractional coordinates):
Ta (0.079, 0.921, 0.831)
Ta (0.081, 0.419, 0.329)
Ta (0.419, 0.081, 0.171)
Ta (0.921, 0.079, 0.169)
Se (0.222, 0.443, 0.906)
Se (0.344, 0.821, 0.028)
Se (0.443, 0.222, 0.429)
Se (0.697, 0.697, 0.303)
Se (0.821, 0.344, 0.807)
Se (0.947, 0.947, 0.553)

* final energy: -73.700 eV per cell
* energy relative to the elements, uncorrected: -2.69 eV/f.u.



# 2
This record from the Alexandria database describes a relaxed structure of Ta3Se. The functional is PBE.

abc: 4.595 4.595 3.357
angles: 90.00 90.00 90.00
Atoms (fractional coordinates):
Ta (0.000, 0.000, 0.000)
Ta (0.000, 0.500, 0.500)
Ta (0.500, 0.000, 0.500)
Se (0.500, 0.500, 0.000)

* energy relative to the lowest polymorph listed for this composition: 160 meV per atom
* final energy: -38.490 eV per cell
* energy relative to the elements, uncorrected: 0.55 eV/f.u.



# 3
This record from the Alexandria database describes a relaxed structure of Ta2Se. The functional is PBE.

abc: 7.455 3.242 8.907
angles: 90.00 90.00 90.00
Atoms (fractional coordinates):
Ta (0.101, 0.250, 0.240)
Ta (0.136, 0.250, 0.575)
Ta (0.364, 0.750, 0.075)
Ta (0.399, 0.750, 0.740)
Ta (0.601, 0.250, 0.260)
Ta (0.636, 0.250, 0.925)
Ta (0.864, 0.750, 0.425)
Ta (0.899, 0.750, 0.760)
Se (0.157, 0.250, 0.888)
Se (0.343, 0.750, 0.388)
Se (0.657, 0.250, 0.612)
Se (0.843, 0.750, 0.112)

* final energy: -109.375 eV per cell
* energy relative to the elements, uncorrected: -0.15 eV/f.u.